1.
# HfTiZn2Tc

A relaxed HfTiZn2Tc crystal (PBE, the Alexandria database).

Results
energy = -0.3504 Ry/atom
M_tot = 3.305 μB per formula unit
D(E_F) = 4.76 states/eV/f.u.
space group = No. 123

Cell: 4.754 4.681 4.754 Å, 90.00 90.00 90.00°
Fractional positions:
Zn: 0.000 0.000 0.500
Zn: 0.500 0.000 0.000
Hf: 0.000 0.500 0.000
Tc: 0.500 0.500 0.500
Ti: 0.000 0.000 0.000


2.
# HfTlTc3

A relaxed HfTlTc3 crystal (PBE, the Alexandria database).

Results
M_tot = 2.623 μB per formula unit
D(E_F) = 6.92 states/eV/f.u.
space group = No. 221
excess energy over the best structure of this formula in the dataset = 533 meV/atom

Cell: 4.870 4.870 4.870 Å, 90.00 90.00 90.00°
Fractional positions:
Tl: 0.000 0.000 0.000
Hf: 0.500 0.500 0.500
Tc: 0.000 0.500 0.000
Tc: 0.000 0.000 0.500
Tc: 0.500 0.000 0.000


3.
# Hf2TlTc

A relaxed Hf2TlTc crystal (PBE, the Alexandria database).

Results
energy = -0.6050 Ry/atom
M_tot = 0.000 μB per formula unit
D(E_F) = 2.87 states/eV/f.u.
space group = No. 166

Cell: 3.280 3.280 9.215 Å, 79.75 79.75 60.00°
Fractional positions:
Tl: 0.500 0.500 0.500
Hf: 0.262 0.262 0.214
Hf: 0.738 0.738 0.786
Tc: 0.000 0.000 0.000


4.
# Hf6Tl2Tc

A relaxed Hf6Tl2Tc crystal (PBE, the Alexandria database).

Results
M_tot = 0.000 μB per formula unit
D(E_F) = 8.62 states/eV/f.u.
space group = No. 71
excess energy over the best structure of this formula in the dataset = 375 meV/atom

Cell: 4.802 6.553 8.133 Å, 113.76 107.19 90.00°
Fractional positions:
Hf: 0.148 0.392 0.296
Hf: 0.852 0.096 0.704
Hf: 0.852 0.608 0.704
Hf: 0.500 0.235 0.000
Hf: 0.148 0.904 0.296
Hf: 0.500 0.765 0.000
Tl: 0.678 0.677 0.355
Tl: 0.322 0.323 0.645
Tc: 0.000 0.000 0.000


5.
# Hf2TlTc2

A relaxed Hf2TlTc2 crystal (PBE, the Alexandria database).

Results
energy = -0.6292 Ry/atom
M_tot = 0.000 μB per formula unit
D(E_F) = 4.87 states/eV/f.u.
space group = No. 127

Cell: 7.526 7.526 3.404 Å, 90.00 90.00 90.00°
Fractional positions:
Tl: 0.000 0.000 0.000
Tl: 0.500 0.500 0.000
Hf: 0.152 0.652 0.500
Hf: 0.652 0.848 0.500
Hf: 0.848 0.348 0.500
Hf: 0.348 0.152 0.500
Tc: 0.355 0.855 0.000
Tc: 0.855 0.645 0.000
Tc: 0.645 0.145 0.000
Tc: 0.145 0.355 0.000


6.
# HfTlTc2

A relaxed HfTlTc2 crystal (PBE, the Alexandria database).

Results
M_tot = 0.000 μB per formula unit
D(E_F) = 4.46 states/eV/f.u.
space group = No. 122
excess energy over the best structure of this formula in the dataset = 451 meV/atom

Cell: 4.124 4.124 10.118 Å, 78.24 78.24 90.00°
Fractional positions:
Tl: 0.000 0.000 0.000
Tl: 0.750 0.250 0.500
Hf: 0.500 0.500 0.000
Hf: 0.250 0.750 0.500
Tc: 0.540 0.125 0.250
Tc: 0.210 0.625 0.250
Tc: 0.375 0.460 0.750
Tc: 0.875 0.790 0.750


7.
# Hf2TlTc

A relaxed Hf2TlTc crystal (PBE, the Alexandria database).

Results
energy = -0.6041 Ry/atom
M_tot = 0.000 μB per formula unit
D(E_F) = 1.45 states/eV/f.u.
space group = No. 123

Cell: 3.531 4.722 4.722 Å, 90.00 90.00 90.00°
Fractional positions:
Tl: 0.500 0.500 0.500
Hf: 0.000 0.000 0.500
Hf: 0.000 0.500 0.000
Tc: 0.500 0.000 0.000


8.
# Hf3TlTc

A relaxed Hf3TlTc crystal (PBE, the Alexandria database).

Results
M_tot = 0.000 μB per formula unit
D(E_F) = 9.09 states/eV/f.u.
space group = No. 221
excess energy over the best structure of this formula in the dataset = 0 meV/atom

Cell: 5.004 5.004 5.004 Å, 90.00 90.00 90.00°
Fractional positions:
Tl: 0.500 0.500 0.500
Hf: 0.000 0.500 0.000
Hf: 0.000 0.000 0.500
Hf: 0.500 0.000 0.000
Tc: 0.000 0.000 0.000


9.
# HfTl2Tc

A relaxed HfTl2Tc crystal (PBE, the Alexandria database).

Results
M_tot = 1.292 μB per formula unit
D(E_F) = 2.98 states/eV/f.u.
space group = No. 122
excess energy over the best structure of this formula in the dataset = 233 meV/atom

Cell: 7.848 7.848 6.277 Å, 51.30 51.30 90.00°
Fractional positions:
Tl: 0.607 0.125 0.250
Tl: 0.143 0.625 0.250
Tl: 0.375 0.393 0.750
Tl: 0.875 0.857 0.750
Hf: 0.000 0.000 0.000
Hf: 0.750 0.250 0.500
Tc: 0.500 0.500 0.000
Tc: 0.250 0.750 0.500


10.
# HfTlTc2

A relaxed HfTlTc2 crystal (PBE, the Alexandria database).

Results
M_tot = 0.000 μB per formula unit
D(E_F) = 4.42 states/eV/f.u.
space group = No. 225
excess energy over the best structure of this formula in the dataset = 0 meV/atom

Cell: 4.645 4.645 4.645 Å, 60.00 60.00 60.00°
Fractional positions:
Tl: 0.500 0.500 0.500
Hf: 0.000 0.000 0.000
Tc: 0.250 0.250 0.250
Tc: 0.750 0.750 0.750


11.
# Hf5TlTc4

A relaxed Hf5TlTc4 crystal (PBE, the Alexandria database).

Results
energy = -0.7174 Ry/atom
M_tot = 0.000 μB per formula unit
D(E_F) = 8.34 states/eV/f.u.
space group = No. 123

Cell: 3.308 3.308 16.926 Å, 90.00 90.00 90.00°
Fractional positions:
Hf: 0.500 0.500 0.124
Hf: 0.500 0.500 0.310
Hf: 0.500 0.500 0.500
Hf: 0.500 0.500 0.690
Hf: 0.500 0.500 0.876
Tl: 0.000 0.000 0.000
Tc: 0.000 0.000 0.209
Tc: 0.000 0.000 0.404
Tc: 0.000 0.000 0.596
Tc: 0.000 0.000 0.791


12.
# Hf3TlTc2

A relaxed Hf3TlTc2 crystal (PBE, the Alexandria database).

Results
energy = -0.6747 Ry/atom
M_tot = 0.000 μB per formula unit
D(E_F) = 2.34 states/eV/f.u.
space group = No. 123

Cell: 3.339 3.339 10.338 Å, 90.00 90.00 90.00°
Fractional positions:
Hf: 0.000 0.000 0.000
Hf: 0.000 0.000 0.698
Hf: 0.000 0.000 0.302
Tl: 0.500 0.500 0.500
Tc: 0.500 0.500 0.839
Tc: 0.500 0.500 0.161